Entry 1:
Computed, not measured: a relaxed structure of Ac7LaTb4 at the PBE-GGA level of DFT.

energy of formation: 0.121 eV/atom
final energy: -4.229 eV/atom

a = 7.116 Å, b = 9.538 Å, c = 10.001 Å
α = 79.41°, β = 89.24°, γ = 47.25°
Fractional positions:
Ac 0.741 0.512 0.939
Ac 0.259 0.488 0.061
Ac 0.035 0.296 0.628
Ac 0.965 0.704 0.372
Ac 0.334 0.799 0.596
Ac 0.500 0.000 0.000
Ac 0.666 0.201 0.404
La 0.000 0.000 0.000
Tb 0.537 0.639 0.272
Tb 0.463 0.361 0.728
Tb 0.810 0.837 0.710
Tb 0.190 0.163 0.290

---

Entry 2:
Computed, not measured: a relaxed structure of SrCrI2N at the PBE-GGA level of DFT.

final energy: -4.025 eV/atom
excess energy over the best structure of this formula in the dataset: 977.8 meV/atom
formation energy from raw total energies: 50.3 kJ/mol of atoms

a = 6.435 Å, b = 6.435 Å, c = 4.990 Å
α = 90.00°, β = 90.00°, γ = 90.00°
Site moments in Bohr magnetons follow the coordinates.
Fractional positions:
I 0.000 0.500 0.000  0.01
I 0.500 0.000 0.000  0.01
Sr 0.000 0.000 0.000  0.01
N 0.000 0.000 0.500  1.26
Cr 0.500 0.500 0.500  4.46

---

Question: Which value of final energy does entry 1 give?
Answer: -4.229 eV/atom